Computed, not measured: a relaxed Rb2Ba3Na2 crystal at the PBE-GGA level of DFT.

Cell lengths 4.933, 37.767, 4.893 Å; angles 90.00, 90.00, 90.00 degrees
Space group Cmmm (No. 65)
Inequivalent atoms, fractional coordinates:
Rb1 0.000 0.194 0.000 x4
Ba1 0.000 0.068 0.000 x4
Ba2 0.000 0.500 0.500 x2
Na1 0.000 0.377 0.500 x4

Computed properties:
- total magnetic moment (Bohr magnetons per cell) = 0.00
- energy of formation from the pure elements (eV per atom) = 0.029
- DFT total energy (eV/atom) = -1.45

=====

Computed, not measured: a relaxed Ac3Pr6Dy2 crystal at the PBE-GGA level of DFT.

Cell lengths 3.7707, 3.7707, 100.8808 Å; angles 90.00, 90.00, 120.00 degrees
Space group R-3m (No. 166, hexagonal axes)
Inequivalent atoms, fractional coordinates:
Ac1 0.0000 0.0000 0.0000 x3
Ac2 0.0000 0.0000 0.2708 x6
Pr1 0.0000 0.0000 0.0940 x6
Pr2 0.0000 0.0000 0.1817 x6
Pr3 0.0000 0.0000 0.3646 x6
Dy1 0.0000 0.0000 0.4561 x6

Computed properties:
- total magnetic moment (Bohr magnetons per cell) = 0.00
- energy of formation from the pure elements (eV per atom) = 0.037
- DFT total energy (eV/atom) = -4.53

=====

Computed, not measured: a relaxed Pm7Tl2Ir crystal at the PBE-GGA level of DFT.

Cell lengths 11.178, 11.178, 11.178 Å; angles 90.00, 90.00, 90.00 degrees
Space group Fm-3m (No. 225)
Inequivalent atoms, fractional coordinates:
Pm1 0.000 0.000 0.000 x4
Pm2 0.000 0.000 0.257 x24
Tl1 0.250 0.250 0.250 x8
Ir1 0.000 0.000 0.500 x4

Computed properties:
- total magnetic moment (Bohr magnetons per cell) = 0.00
- energy of formation from the pure elements (eV per atom) = 0.143
- DFT total energy (eV/atom) = -4.54

=====

Computed, not measured: a relaxed BaInGa2Tc crystal at the PBE-GGA level of DFT.

Cell lengths 5.781, 5.781, 6.187 Å; angles 90.00, 90.00, 90.00 degrees
Space group P4/mmm (No. 123)
Inequivalent atoms, fractional coordinates:
Ba1 0.000 0.000 0.000 x1
In1 0.000 0.000 0.500 x1
Ga1 0.000 0.500 0.000 x2
Tc1 0.500 0.500 0.500 x1

Computed properties:
- total magnetic moment (Bohr magnetons per cell) = 3.01
- energy of formation from the pure elements (eV per atom) = 1.786
- DFT total energy (eV/atom) = -2.43

=====

Computed, not measured: a relaxed PmSmAlRu crystal at the PBE-GGA level of DFT.

Cell lengths 7.181, 7.181, 7.181 Å; angles 90.00, 90.00, 90.00 degrees
Space group F-43m (No. 216)
Inequivalent atoms, fractional coordinates:
Pm1 0.000 0.000 0.000 x4
Sm1 0.000 0.000 0.500 x4
Al1 0.250 0.250 0.250 x4
Ru1 0.250 0.250 0.750 x4

Computed properties:
- total magnetic moment (Bohr magnetons per cell) = 0.00
- energy of formation from the pure elements (eV per atom) = -0.229
- DFT total energy (eV/atom) = -5.85

=====

Computed, not measured: a relaxed Ac3Pr12Sm crystal at the PBE-GGA level of DFT.

Cell lengths 5.316, 5.316, 21.233 Å; angles 90.00, 90.00, 90.00 degrees
Space group P4/mmm (No. 123)
Inequivalent atoms, fractional coordinates:
Ac1 0.000 0.000 0.000 x1
Ac2 0.000 0.000 0.252 x2
Pr1 0.000 0.500 0.126 x4
Pr2 0.000 0.500 0.379 x4
Pr3 0.500 0.500 0.000 x1
Pr4 0.500 0.500 0.253 x2
Pr5 0.500 0.500 0.500 x1
Sm1 0.000 0.000 0.500 x1

Computed properties:
- total magnetic moment (Bohr magnetons per cell) = 0.00
- energy of formation from the pure elements (eV per atom) = 0.017
- DFT total energy (eV/atom) = -4.63

=====

Look up the DFT total energy of the fifth one. -5.85 eV/atom